Compound: Pa4SiPS2
Source: Alexandria via LeMat-Bulk
Functional: GGA-PBE
Structure: relaxed

```
8
Lattice="4.0227 0.0000 0.0000 0.0000 6.6872 -0.0349 0.0000 2.4529 6.5235" Properties=species:S:1:pos:R:3 pbc="T T T"
Si 0.0000 4.5700 3.2443
Pa 0.0001 6.8858 4.8760
Pa 4.0227 2.2543 1.6125
Pa 2.0114 5.6611 1.5702
S 2.0114 1.2265 3.2617
P 2.0114 3.3436 -0.0175
S 0.0000 2.4529 6.5235
Pa 2.0114 3.4790 4.9184
```

***

Compound: ScTe2Pb
Source: Alexandria via LeMat-Bulk
Functional: GGA-PBE
Structure: relaxed

```
4
Lattice="3.7295 0.0000 0.0000 0.0000 3.7372 0.0345 0.0000 3.7496 7.8830" Properties=species:S:1:pos:R:3 pbc="T T T"
Te 0.0000 3.7164 7.5804
Te 0.0000 3.7766 4.2613
Pb 1.8647 1.8717 1.9794
Sc 1.8647 5.6151 5.9381
```

***

| no. | calculated total energy (eV per atom) | ρ (g/cm³) |
| --- | --- | --- |
| 1 | -8.39 | 9.89 |
| 2 | -4.70 | 7.70 |